A relaxed Y2GePt crystal, computed with PBE.

Lattice parameters (Å, degrees): 4.3131 5.8239 7.8443 110.33 90.00 90.00
Sites, in units of the cell vectors:
Ge 0.2500 0.3255 0.2061
Y 0.2500 0.7843 0.5593
Pt 0.7500 0.6533 0.2896
Y 0.7500 0.2249 0.9155
Y 0.2500 0.7751 0.0845
Y 0.7500 0.2157 0.4407
Ge 0.7500 0.6745 0.7939
Pt 0.2500 0.3467 0.7104

The formation energy comes out at -1.10 eV/atom. The value obtained for the density of states at the Fermi level is 0.7 states/eV/f.u.


A relaxed Y6TlBi2Te3 crystal, computed with PBE.

Lattice parameters (Å, degrees): 4.3921 8.9003 9.8855 102.73 102.84 90.00
Sites, in units of the cell vectors:
Te 0.1696 0.8334 0.3392
Y 0.3324 0.4185 0.6647
Y 0.6615 0.0817 0.3229
Y 0.6676 0.5815 0.3353
Y 0.0007 0.7592 0.0014
Y 0.9993 0.2408 0.9986
Te 0.5000 0.5000 0.0000
Tl 0.5000 0.0000 0.0000
Y 0.3385 0.9183 0.6771
Bi 0.1664 0.3338 0.3327
Bi 0.8336 0.6662 0.6673
Te 0.8304 0.1666 0.6608

For the uncorrected formation energy, the calculation gives -1.035 eV/atom. The value obtained for the density of states at the Fermi level is 3.4 states/eV/f.u.


A relaxed Rh4C23 crystal, computed with PBE.

Lattice parameters (Å, degrees): 7.1438 7.1438 7.1438 90.00 90.00 90.00
Site moments in Bohr magnetons follow the coordinates.
Sites, in units of the cell vectors:
C 0.6859 0.6859 0.3141  0.02
C 0.3036 0.0000 0.1302  0.02
C 0.6859 0.6859 0.6859  0.02
C 0.1964 0.3698 0.5000  0.02
Rh 0.5000 0.7500 0.0000  0.87
C 0.5000 0.0000 0.2500  0.03
C 0.0000 0.8698 0.6964  0.02
C 0.3036 0.0000 0.8698  0.02
C 0.0000 0.8698 0.3036  0.02
C 0.0000 0.1302 0.3036  0.02
Rh 0.0000 0.5000 0.7500  0.87
C 0.3141 0.6859 0.3141  0.02
C 0.3698 0.5000 0.1964  0.02
C 0.5000 0.8036 0.3698  0.02
C 0.8698 0.3036 0.0000  0.02
Rh 0.5000 0.5000 0.5000  0.80
C 0.5000 0.8036 0.6302  0.02
Rh 0.0000 0.0000 0.0000  0.80
C 0.5000 0.1964 0.6302  0.02
C 0.3141 0.6859 0.6859  0.02
C 0.1859 0.8141 0.8141  0.02
C 0.6859 0.3141 0.3141  0.02
C 0.5000 0.0000 0.7500  0.03
C 0.7500 0.5000 0.0000  0.03
C 0.2500 0.5000 0.0000  0.03
C 0.0000 0.1302 0.6964  0.02
C 0.1302 0.6964 0.0000  0.02
C 0.8698 0.6964 0.0000  0.02
C 0.3141 0.3141 0.6859  0.02
C 0.0000 0.2500 0.5000  0.03
C 0.8141 0.8141 0.8141  0.02
C 0.8141 0.1859 0.1859  0.02
C 0.8141 0.1859 0.8141  0.02
C 0.6302 0.5000 0.8036  0.02
C 0.0000 0.7500 0.5000  0.03
C 0.1859 0.1859 0.8141  0.02
Rh 0.5000 0.2500 0.0000  0.87
Rh 0.7500 0.0000 0.5000  0.87
C 0.6964 0.0000 0.8698  0.02
C 0.6302 0.5000 0.1964  0.02
Rh 0.0000 0.5000 0.2500  0.87
Rh 0.2500 0.0000 0.5000  0.87
C 0.8036 0.3698 0.5000  0.02
C 0.3141 0.3141 0.3141  0.02
C 0.1859 0.8141 0.1859  0.02
C 0.1302 0.3036 0.0000  0.02
C 0.1859 0.1859 0.1859  0.02
C 0.8036 0.6302 0.5000  0.02
C 0.6964 0.0000 0.1302  0.02
C 0.8141 0.8141 0.1859  0.02
C 0.6859 0.3141 0.6859  0.02
C 0.1964 0.6302 0.5000  0.02
C 0.3698 0.5000 0.8036  0.02
C 0.5000 0.1964 0.3698  0.02

The formation energy comes out at 1.42 eV/atom. The value obtained for the density of states at the Fermi level is 10.5 states/eV/f.u.


A relaxed Tl2HgRhF6 crystal, computed with PBE.

Lattice parameters (Å, degrees): 6.1635 6.6554 8.9046 90.00 90.00 90.00
Sites, in units of the cell vectors:
F 0.0000 0.7961 0.2287
Tl 0.5000 0.7794 0.7678
Tl 0.0000 0.2206 0.2678
F 0.7580 0.5699 0.0000
Hg 0.5000 0.2866 0.0000
F 0.0000 0.7961 0.7713
F 0.2580 0.4301 0.5000
F 0.2438 0.9884 0.0000
F 0.7562 0.9884 0.0000
Tl 0.5000 0.7794 0.2322
F 0.5000 0.2039 0.2713
F 0.7438 0.0116 0.5000
F 0.5000 0.2039 0.7287
F 0.2562 0.0116 0.5000
Rh 0.5000 0.2210 0.5000
F 0.2420 0.5699 0.0000
F 0.7420 0.4301 0.5000
Hg 0.0000 0.7134 0.5000
Rh 0.0000 0.7790 0.0000
Tl 0.0000 0.2206 0.7322

For the uncorrected formation energy, the calculation gives -1.535 eV/atom. The value obtained for the density of states at the Fermi level is 4.8 states/eV/f.u.


A relaxed TaMoC2 crystal, computed with PBE.

Lattice parameters (Å, degrees): 2.9995 3.1744 4.7950 90.00 90.00 90.00
Sites, in units of the cell vectors:
C 0.0000 0.2500 0.5905
Mo 0.5000 0.2500 0.2500
C 0.0000 0.2500 0.9095
Ta 0.5000 0.7500 0.7500

For the polymorph energy (0 for the lowest one), the calculation gives 0.421 eV/atom. The formation energy comes out at 0.20 eV/atom. The value obtained for the density of states at the Fermi level is 2.5 states/eV/f.u.


A relaxed La2HoTmSe6 crystal, computed with PBE.

Lattice parameters (Å, degrees): 7.4088 7.4088 7.7356 61.40 61.40 60.01
Sites, in units of the cell vectors:
La 0.5233 0.5234 0.4298
Se 0.1945 0.9471 0.2600
Se 0.9472 0.5983 0.2601
Se 0.1010 0.4446 0.7614
Se 0.4445 0.6930 0.7613
Se 0.5984 0.1945 0.2600
La 0.0230 0.0229 0.9309
Tm 0.3186 0.3185 0.0444
Ho 0.8180 0.8181 0.5460
Se 0.6930 0.1012 0.7613

For the uncorrected formation energy, the calculation gives -1.913 eV/atom. The value obtained for the density of states at the Fermi level is 0.0 states/eV/f.u.


Calculated volume in order - 23.1 30.6 6.8 18.3 11.4 30.6 A^3/atom
Calculated mass density in order - 8.008 6.961 6.266 7.512 10.944 5.881 g cm⁻³
Calculated energy in order - -6.9921 -5.8966 -7.5300 -3.8962 -10.0878 -5.8946 eV per atom